Entry 1:
# Pd2O3

A relaxed Pd2O3 crystal (PBE, OQMD via LeMat-Bulk).

abc: 6.296 3.122 6.154
angles: 104.68 79.35 89.99
Positions (direct):
Pd 0.200 0.009 0.040
Pd 0.700 0.509 0.040
Pd 0.955 0.756 0.534
Pd 0.446 0.261 0.546
O 0.770 0.333 0.689
O 0.630 0.684 0.390
O 0.249 0.837 0.696
O 0.151 0.181 0.384
O 0.516 0.980 0.983
O 0.884 0.037 0.097

Computed properties:
**Space group**: C2/m
**Total DFT energy (no corrections)**: -5.41 eV/atom

=====

Entry 2:
# HfScGe4

A relaxed HfScGe4 crystal (PBE, OQMD via LeMat-Bulk).

abc: 3.789 7.768 7.768
angles: 28.62 90.00 90.00
Positions (direct):
Ge 0.500 0.059 0.059
Ge 0.000 0.942 0.942
Ge 0.500 0.750 0.750
Ge 0.000 0.248 0.248
Sc 0.500 0.396 0.396
Hf 0.000 0.605 0.605

Computed properties:
**Space group**: Amm2
**Total DFT energy (no corrections)**: -6.33 eV/atom

=====

Entry 3:
# Li6Pt2O7

A relaxed Li6Pt2O7 crystal (PBE, OQMD via LeMat-Bulk).

abc: 5.171 5.850 5.115
angles: 89.66 100.08 107.07
Positions (direct):
O 0.731 0.181 0.110
O 0.250 0.812 0.875
O 0.741 0.687 0.147
O 0.769 0.444 0.640
O 0.251 0.056 0.368
O 0.249 0.569 0.382
O 0.759 0.938 0.603
Li 0.957 0.500 0.006
Li 0.543 0.125 0.744
Li 0.974 0.257 0.454
Li 0.522 0.640 0.739
Li 0.978 0.985 0.011
Li 0.526 0.368 0.296
Pt 0.002 0.747 0.506
Pt 0.498 0.878 0.244

Computed properties:
**Space group**: P-1
**Total DFT energy (no corrections)**: -5.26 eV/atom

=====

Entry 4:
# Dy3SbAu9

A relaxed Dy3SbAu9 crystal (PBE, OQMD via LeMat-Bulk).

abc: 8.190 8.190 9.070
angles: 90.00 90.00 120.00
Positions (direct):
Au 0.034 0.667 0.911
Au 0.333 0.367 0.589
Au 0.367 0.034 0.089
Au 0.966 0.333 0.411
Au 0.667 0.333 0.250
Au 0.633 0.966 0.911
Au 0.633 0.966 0.589
Au 0.667 0.633 0.089
Au 0.667 0.333 0.586
Au 0.333 0.667 0.086
Au 0.367 0.034 0.411
Au 0.667 0.333 0.914
Au 0.333 0.667 0.414
Au 0.966 0.333 0.089
Au 0.333 0.367 0.911
Au 0.034 0.667 0.589
Au 0.333 0.667 0.750
Au 0.667 0.633 0.411
Dy 0.322 0.035 0.750
Dy 0.287 0.322 0.250
Dy 0.035 0.713 0.250
Dy 0.678 0.965 0.250
Dy 0.713 0.678 0.750
Dy 0.965 0.287 0.750
Sb 0.000 0.000 0.000
Sb 0.000 0.000 0.500

Computed properties:
**Space group**: P6_3/m
**Total DFT energy (no corrections)**: -4.32 eV/atom

=====

- Look up the total DFT energy (no corrections) of the fourth one.
  -4.32 eV/atom